1.
# CaSn2RhSe PBE-GGA relaxed
data_CaSn2RhSe
_chemical_formula_sum 'Ca1 Sn2 Rh1 Se1'
_symmetry_space_group_name_H-M 'P 4/m m m'
_symmetry_Int_Tables_number 123
_symmetry_space_group_name_Hall '-P 4 2'
_cell_length_a 5.5889
_cell_length_b 5.5889
_cell_length_c 4.5879
_cell_angle_alpha 90.00
_cell_angle_beta 90.00
_cell_angle_gamma 90.00
loop_
_atom_site_label
_atom_site_type_symbol
_atom_site_fract_x
_atom_site_fract_y
_atom_site_fract_z
Ca1 Ca 0.0000 0.0000 0.0000
Sn1 Sn 0.0000 0.5000 0.5000
Rh1 Rh 0.5000 0.5000 0.0000
Se1 Se 0.5000 0.5000 0.5000
# Formation energy without anion corrections: 0.3 eV per formula unit
# Volume: 28.7 Å³ per atom
# DOS(E_F): 5.08 states/eV/cell
# E_tot: -0.1510 Ha/atom
# Total moment: 0.0 μB/cell

***

2.
# SrHg6Pt6 PBE-GGA relaxed
data_SrHg6Pt6
_chemical_formula_sum 'Sr2 Hg12 Pt12'
_symmetry_space_group_name_H-M 'I m m m'
_symmetry_Int_Tables_number 71
_symmetry_space_group_name_Hall '-I 2 2'
_cell_length_a 5.6845
_cell_length_b 9.4068
_cell_length_c 9.8208
_cell_angle_alpha 90.00
_cell_angle_beta 90.00
_cell_angle_gamma 90.00
loop_
_atom_site_label
_atom_site_type_symbol
_atom_site_fract_x
_atom_site_fract_y
_atom_site_fract_z
Sr1 Sr 0.0000 0.0000 0.0000
Hg1 Hg 0.0000 0.0000 0.3419
Hg2 Hg 0.0000 0.3378 0.0000
Hg3 Hg 0.0000 0.5000 0.3208
Pt1 Pt 0.0000 0.2595 0.5000
Pt2 Pt 0.2500 0.2500 0.2500
# Volume: 20.2 Å³ per atom
# DOS(E_F): 9.46 states/eV/cell
# E_tot: -0.1212 Ha/atom
# Total moment: 0.0 μB/cell
# Formation enthalpy at 0 K: -242 meV/atom

***

3.
# GaB2Ir2 PBE-GGA relaxed
data_GaB2Ir2
_chemical_formula_sum 'Ga2 B4 Ir4'
_symmetry_space_group_name_H-M 'P 4/m b m'
_symmetry_Int_Tables_number 127
_symmetry_space_group_name_Hall '-P 4 2ab'
_cell_length_a 6.4421
_cell_length_b 6.4421
_cell_length_c 2.8256
_cell_angle_alpha 90.00
_cell_angle_beta 90.00
_cell_angle_gamma 90.00
loop_
_atom_site_label
_atom_site_type_symbol
_atom_site_fract_x
_atom_site_fract_y
_atom_site_fract_z
Ga1 Ga 0.0000 0.0000 0.0000
B1 B 0.0901 0.4099 0.0000
Ir1 Ir 0.2342 0.7342 0.5000
# Volume: 11.7 Å³ per atom
# DOS(E_F): 5.33 states/eV/cell
# E_tot: -0.2485 Ha/atom
# Total moment: 0.0 μB/cell
# Formation enthalpy at 0 K: 58 meV/atom

***

4.
# HoTm2Te2 PBE-GGA relaxed
data_HoTm2Te2
_chemical_formula_sum 'Ho4 Tm8 Te8'
_symmetry_space_group_name_H-M 'C m c 21'
_symmetry_Int_Tables_number 36
_cell_length_a 4.0645
_cell_length_b 17.2300
_cell_length_c 8.0408
_cell_angle_alpha 90.00
_cell_angle_beta 90.00
_cell_angle_gamma 90.00
loop_
_symmetry_equiv_pos_as_xyz
'x,y,z'
'-x,-y,z+1/2'
'-x,y,z'
'x,-y,z+1/2'
'x+1/2,y+1/2,z'
'-x+1/2,-y+1/2,z+1/2'
'-x+1/2,y+1/2,z'
'x+1/2,-y+1/2,z+1/2'
loop_
_atom_site_label
_atom_site_type_symbol
_atom_site_fract_x
_atom_site_fract_y
_atom_site_fract_z
Ho1 Ho 0.0000 0.1270 0.0000
Tm1 Tm 0.0000 0.3177 0.1583
Tm2 Tm 0.0000 0.4773 0.8305
Te1 Te 0.0000 0.0532 0.6048
Te2 Te 0.0000 0.3032 0.7715
# Formation energy without anion corrections: -4.6 eV per formula unit
# Volume: 28.2 Å³ per atom
# DOS(E_F): 15.01 states/eV/cell
# E_tot: -0.1792 Ha/atom
# Total moment: 0.0 μB/cell

***

5.
# Nb14ZnOs PBE-GGA relaxed
data_Nb14ZnOs
_chemical_formula_sum 'Nb14 Zn1 Os1'
_symmetry_space_group_name_H-M 'P 4/m m m'
_symmetry_Int_Tables_number 123
_symmetry_space_group_name_Hall '-P 4 2'
_cell_length_a 6.5742
_cell_length_b 6.5742
_cell_length_c 6.5915
_cell_angle_alpha 90.00
_cell_angle_beta 90.00
_cell_angle_gamma 90.00
loop_
_atom_site_label
_atom_site_type_symbol
_atom_site_fract_x
_atom_site_fract_y
_atom_site_fract_z
Nb1 Nb 0.0000 0.0000 0.0000
Nb2 Nb 0.0000 0.5000 0.0000
Nb3 Nb 0.0000 0.5000 0.5000
Nb4 Nb 0.2456 0.2456 0.2531
Nb5 Nb 0.5000 0.5000 0.0000
Zn1 Zn 0.5000 0.5000 0.5000
Os1 Os 0.0000 0.0000 0.5000
# Volume: 17.8 Å³ per atom
# DOS(E_F): 16.94 states/eV/cell
# E_tot: -0.3550 Ha/atom
# Total moment: 0.0 μB/cell
# Formation enthalpy at 0 K: -67 meV/atom

***

6.
# BaCa2AgCl8 PBE-GGA relaxed
data_BaCa2AgCl8
_chemical_formula_sum 'Ba1 Ca2 Ag1 Cl8'
_symmetry_space_group_name_H-M 'P 1 2/m 1'
_symmetry_Int_Tables_number 10
_cell_length_a 6.4962
_cell_length_b 8.4148
_cell_length_c 6.7810
_cell_angle_alpha 90.00
_cell_angle_beta 92.75
_cell_angle_gamma 90.00
loop_
_symmetry_equiv_pos_as_xyz
'x,y,z'
'-x,-y,-z'
'-x,y,-z'
'x,-y,z'
loop_
_atom_site_label
_atom_site_type_symbol
_atom_site_fract_x
_atom_site_fract_y
_atom_site_fract_z
Ba1 Ba 0.0000 0.0000 0.0000
Ca1 Ca 0.5000 0.2688 0.5000
Ag1 Ag 0.0000 0.5000 0.0000
Cl1 Cl 0.2354 0.2905 0.1545
Cl2 Cl 0.2721 0.5000 0.6525
Cl3 Cl 0.2976 0.0000 0.6514
# Formation energy without anion corrections: -22.2 eV per formula unit
# Volume: 30.9 Å³ per atom
# DOS(E_F): 2.53 states/eV/cell
# E_tot: -0.1401 Ha/atom
# Total moment: 1.1 μB/cell

***

7.
# Na2CuTe2Se6 PBE-GGA relaxed
data_Na2CuTe2Se6
_chemical_formula_sum 'Na4 Cu2 Te4 Se12'
_symmetry_space_group_name_H-M 'C 1 2/m 1'
_symmetry_Int_Tables_number 12
_cell_length_a 6.8370
_cell_length_b 11.9842
_cell_length_c 7.6610
_cell_angle_alpha 90.00
_cell_angle_beta 109.25
_cell_angle_gamma 90.00
loop_
_symmetry_equiv_pos_as_xyz
'x,y,z'
'-x,-y,-z'
'-x,y,-z'
'x,-y,z'
'x+1/2,y+1/2,z'
'-x+1/2,-y+1/2,-z'
'-x+1/2,y+1/2,-z'
'x+1/2,-y+1/2,z'
loop_
_atom_site_label
_atom_site_type_symbol
_atom_site_fract_x
_atom_site_fract_y
_atom_site_fract_z
Na1 Na 0.0000 0.1695 0.0000
Cu1 Cu 0.0000 0.0000 0.5000
Te1 Te 0.0000 0.3290 0.5000
Se1 Se 0.2156 0.0000 0.2999
Se2 Se 0.2429 0.1633 0.7213
# Formation energy without anion corrections: -3.4 eV per formula unit
# Volume: 26.9 Å³ per atom
# DOS(E_F): 12.79 states/eV/cell
# E_tot: -0.1245 Ha/atom
# Total moment: 0.2 μB/cell